This record from Alexandria describes AcHoSb2 after structural relaxation. The functional is GGA-PBE.

Computed properties:
- Energy relative to the elements, uncorrected: -847 meV/atom
- Crystal system: tetragonal
- Total energy: -5.08 eV per atom
- Energy above the most stable polymorph in this dataset: 1.18 eV per formula unit

Unit cell a=4.103 b=4.103 c=7.145 alpha=90.00 beta=90.00 gamma=90.00
Space group P4/mmm (No. 123)
Inequivalent atoms, fractional coordinates:
Ac (0.000, 0.000, 0.000) x1
Ho (0.000, 0.000, 0.500) x1
Sb (0.500, 0.500, 0.275) x2